Entry 1:
Entry from Alexandria: a geometry-optimized TiGaTc structure (PBE).

The size of the total moment comes out at 0.00 μB per atom. As for the space-group type: I4mm, No. 107. The formation enthalpy at 0 K is 0.440 eV/atom. As for the crystal system: tetragonal.

Structure (extended XYZ):
```
3
Lattice="2.670 0.000 0.000 -1.335 6.821 -2.672 0.000 1.410 2.267" Properties=species:S:1:pos:R:3 pbc="T T T"
Ti 0.000 2.093 1.842
Tc 0.000 4.185 0.540
Ga 1.335 5.198 -1.662
```

Entry 2:
Entry from Alexandria: a geometry-optimized Ti3Ga4Tc structure (PBE).

The size of the total moment comes out at 0.00 μB per atom. As for the space-group type: C2/m, No. 12. The formation enthalpy at 0 K is -0.234 eV/atom. As for the crystal system: monoclinic.

Structure (extended XYZ):
```
8
Lattice="-3.079 -2.258 -1.308 2.611 -3.602 0.073 -2.069 2.164 7.358" Properties=species:S:1:pos:R:3 pbc="T T T"
Tc -1.539 -1.129 -0.654
Ga -2.832 -1.405 2.863
Ga 0.296 -2.291 3.259
Ga -1.841 -0.485 5.170
Ga -0.695 -3.211 0.952
Ti 1.306 -1.801 0.036
Ti -2.057 -3.388 4.463
Ti -0.479 -0.308 1.659
```

Entry 3:
Entry from Alexandria: a geometry-optimized TiGaTc structure (PBE).

The size of the total moment comes out at 0.00 μB per atom. As for the space-group type: Fdd2, No. 43. The formation enthalpy at 0 K is -0.468 eV/atom. As for the crystal system: orthorhombic.

Structure (extended XYZ):
```
24
Lattice="4.859 0.000 0.000 0.000 9.259 0.000 0.000 0.000 8.067" Properties=species:S:1:pos:R:3 pbc="T T T"
Tc 0.000 0.000 2.444
Tc 1.215 2.315 4.461
Tc 0.000 4.630 6.478
Tc 1.215 6.945 0.428
Tc 2.429 0.000 6.478
Tc 3.644 2.315 0.428
Tc 2.429 4.630 2.444
Tc 3.644 6.945 4.461
Ga 0.000 0.000 7.782
Ga 1.215 2.315 1.732
Ga 0.000 4.630 3.748
Ga 1.215 6.945 5.765
Ga 2.429 0.000 3.748
Ga 3.644 2.315 5.765
Ga 2.429 4.630 7.782
Ga 3.644 6.945 1.732
Ti 0.000 0.000 5.027
Ti 1.215 2.315 7.044
Ti 0.000 4.630 0.994
Ti 1.215 6.945 3.010
Ti 2.429 0.000 0.994
Ti 3.644 2.315 3.010
Ti 2.429 4.630 5.027
Ti 3.644 6.945 7.044
```

Entry 4:
Entry from Alexandria: a geometry-optimized TiGa3Tc structure (PBE).

The size of the total moment comes out at 0.00 μB per atom. As for the space-group type: Pm-3m, No. 221. The formation enthalpy at 0 K is 0.449 eV/atom. As for the crystal system: cubic.

Structure (extended XYZ):
```
5
Lattice="-1.150 4.304 -1.507 -4.553 -0.997 0.626 0.253 1.612 4.410" Properties=species:S:1:pos:R:3 pbc="T T T"
Tc 0.000 0.000 0.000
Ga -2.276 -0.499 0.313
Ga 0.127 0.806 2.205
Ga -0.575 2.152 -0.753
Ti -2.725 2.459 1.765
```

Entry 5:
Entry from Alexandria: a geometry-optimized Ti4GaTc structure (PBE).

The size of the total moment comes out at 0.00 μB per atom. As for the space-group type: C2/m, No. 12. The formation enthalpy at 0 K is 0.045 eV/atom. As for the crystal system: monoclinic.

Structure (extended XYZ):
```
6
Lattice="4.325 0.000 0.000 2.162 3.753 0.223 2.162 0.854 6.958" Properties=species:S:1:pos:R:3 pbc="T T T"
Ti 4.325 2.460 0.911
Ti 4.325 2.147 6.269
Ti 2.162 0.991 4.491
Ti 6.487 3.616 2.690
Ga 4.325 2.303 3.590
Tc 0.000 0.000 0.000
```

Entry 6:
Entry from Alexandria: a geometry-optimized Ti2GaTc structure (PBE).

The size of the total moment comes out at 0.00 μB per atom. As for the space-group type: P4/mmm, No. 123. The formation enthalpy at 0 K is -0.558 eV/atom. As for the crystal system: tetragonal.

Structure (extended XYZ):
```
4
Lattice="-0.447 -2.552 -1.865 -0.783 -1.736 2.562 -5.798 1.545 -0.725" Properties=species:S:1:pos:R:3 pbc="T T T"
Tc -0.615 -2.144 0.349
Ga -3.514 -1.371 -0.014
Ti -4.414 1.177 -0.552
Ti -1.384 0.369 -0.173
```

Entry 7:
Entry from Alexandria: a geometry-optimized Ti3GaTc structure (PBE).

The size of the total moment comes out at 0.00 μB per atom. As for the space-group type: Pm-3m, No. 221. The formation enthalpy at 0 K is 0.946 eV/atom. As for the crystal system: cubic.

Structure (extended XYZ):
```
5
Lattice="-4.018 -0.485 -2.179 1.746 -3.479 -2.445 -1.392 -2.965 3.225" Properties=species:S:1:pos:R:3 pbc="T T T"
Tc -1.832 -3.465 -0.700
Ga 0.000 0.000 0.000
Ti 0.873 -1.740 -1.223
Ti -0.696 -1.483 1.613
Ti -2.009 -0.242 -1.090
```

Entry 8:
Entry from Alexandria: a geometry-optimized Ti6GaTc structure (PBE).

The size of the total moment comes out at 0.00 μB per atom. As for the space-group type: R-3, No. 148. The formation enthalpy at 0 K is -0.234 eV/atom. As for the crystal system: trigonal.

Structure (extended XYZ):
```
8
Lattice="6.985 0.203 0.123 3.711 6.378 0.013 3.377 2.293 3.022" Properties=species:S:1:pos:R:3 pbc="T T T"
Ti 11.338 5.254 2.298
Ti 11.618 8.285 2.486
Ti 5.416 2.193 0.762
Ti 2.454 0.589 0.673
Ti 2.734 3.620 0.861
Ti 8.657 6.681 2.397
Ga 7.036 4.437 1.579
Tc 0.000 0.000 0.000
```

Entry 9:
Entry from Alexandria: a geometry-optimized TiGa2Tc structure (PBE).

The size of the total moment comes out at 0.22 μB per atom. As for the space-group type: I-42d, No. 122. The formation enthalpy at 0 K is 0.063 eV/atom. As for the crystal system: tetragonal.

Structure (extended XYZ):
```
8
Lattice="6.995 0.000 0.000 0.000 6.995 0.000 3.498 3.498 2.687" Properties=species:S:1:pos:R:3 pbc="T T T"
Tc 0.000 0.000 0.000
Tc 6.995 3.498 1.343
Ga 5.310 1.749 0.672
Ga 1.686 5.247 0.672
Ga 5.247 5.183 2.015
Ga 8.744 8.807 2.015
Ti 3.498 3.498 0.000
Ti 3.498 6.995 1.343
```

Entry 10:
Entry from Alexandria: a geometry-optimized Ti2GaTc structure (PBE).

The size of the total moment comes out at 0.01 μB per atom. As for the space-group type: Immm, No. 71. The formation enthalpy at 0 K is 0.290 eV/atom. As for the crystal system: orthorhombic.

Structure (extended XYZ):
```
4
Lattice="-1.135 1.995 -5.345 -3.161 -2.763 4.027 0.528 0.706 5.750" Properties=species:S:1:pos:R:3 pbc="T T T"
Ti -0.651 -0.508 2.415
Ti -1.983 -1.549 7.361
Ga 0.000 0.000 0.000
Tc -1.317 -1.029 4.888
```

Entry 11:
Entry from Alexandria: a geometry-optimized Ti3Ga3Tc structure (PBE).

The size of the total moment comes out at 0.00 μB per atom. As for the space-group type: C2/m, No. 12. The formation enthalpy at 0 K is -0.247 eV/atom. As for the crystal system: monoclinic.

Structure (extended XYZ):
```
14
Lattice="-2.453 3.299 -4.228 -3.129 -4.610 -1.932 -4.138 1.814 5.030" Properties=species:S:1:pos:R:3 pbc="T T T"
Ti -4.812 0.631 0.757
Ti -5.085 -2.385 0.201
Ti -4.635 2.888 -1.331
Ti -2.924 -2.213 -2.628
Ti -2.658 0.902 -3.532
Ti -4.908 -0.128 -1.887
Ga -8.625 0.225 -1.764
Ga -2.450 1.684 -0.899
Ga -2.722 -1.496 0.024
Ga -7.270 -1.181 -0.231
Ga -6.998 1.998 -1.154
Ga -1.095 0.278 0.634
Tc -5.196 1.338 3.079
Tc -4.524 -0.835 -4.209
```

Entry 12:
Entry from Alexandria: a geometry-optimized Ti6Ga12Tc structure (PBE).

The size of the total moment comes out at 0.00 μB per atom. As for the space-group type: R-3, No. 148. The formation enthalpy at 0 K is -0.343 eV/atom. As for the crystal system: trigonal.

Structure (extended XYZ):
```
19
Lattice="-4.815 0.314 4.784 -0.227 -6.765 -0.594 5.177 0.012 4.401" Properties=species:S:1:pos:R:3 pbc="T T T"
Ti -2.245 -5.620 3.996
Ti -2.929 -1.767 3.968
Ti 0.708 -4.965 1.513
Ti 2.380 -0.819 4.594
Ti 3.065 -4.672 4.623
Ti -0.572 -1.474 7.078
Ga -1.525 -3.486 5.552
Ga 0.418 -5.234 4.211
Ga 1.354 -2.999 5.871
Ga 1.660 -2.953 3.039
Ga -0.282 -1.205 4.379
Ga -1.218 -3.440 2.719
Ga 1.728 -0.800 1.710
Ga 0.630 -3.978 8.090
Ga 1.298 -6.335 6.313
Ga -1.592 -5.639 6.880
Ga -0.495 -2.461 0.501
Ga -1.162 -0.104 2.278
Tc 0.000 0.000 0.000
```

Question: What is the size of the total moment in the sixth record?
Answer: 0.00 μB per atom